1.
# Cd2IrS5

An optimized crystal structure of Cd2IrS5 (GGA-PBE, OQMD via LeMat-Bulk).

## Properties
Calculated total energy: -29.6 eV per cell
Calculated volume: 21.025 Å³ per atom

Cell: 5.9431 5.9431 4.7620 Å, 90.00 90.00 90.00°
With the nearest neighbours (Å) after each atom.
Space group P4/mmm (No. 123)
Symmetry-distinct sites (fractional):
Cd 0.0000 0.5000 0.0000 [2 per cell]  10 S 2.97-3.18
Ir 0.0000 0.0000 0.5000 [1 per cell]  6 S 2.33-2.38
S 0.0000 0.0000 0.0000 [1 per cell]  2 Ir 2.38
S 0.2771 0.2771 0.5000 [4 per cell]  1 Ir 2.33



2.
# CdH13C13N3O6

An optimized crystal structure of CdH13C13N3O6 (GGA-PBE, OQMD via LeMat-Bulk).

## Properties
Calculated total energy: -700.9 eV per cell
Calculated volume: 9.674 Å³ per atom

Cell: 10.4905 10.4905 10.9622 Å, 90.00 90.00 120.00°
With the nearest neighbours (Å) after each atom.
Space group P3_221 (No. 154)
Symmetry-distinct sites (fractional):
Cd 0.0000 0.3651 0.3333 [3 per cell]  6 O 2.32-2.45, 1 N 2.34
H 0.0000 0.7738 0.3333 [3 per cell]  1 C 1.09
H 0.0140 0.2370 0.6728 [6 per cell]  1 C 1.09
H 0.0274 0.5008 0.7461 [6 per cell]  1 C 1.10
H 0.1823 0.7803 0.9524 [6 per cell]  1 N 1.04
H 0.1913 0.4392 0.9463 [6 per cell]  1 C 1.09
H 0.2400 0.5963 0.8557 [6 per cell]  1 C 1.10
H 0.2941 0.6174 0.0109 [6 per cell]  1 C 1.10
C 0.0000 0.8780 0.3333 [3 per cell]  1 H 1.09
C 0.0112 0.1320 0.6712 [6 per cell]  1 H 1.09
C 0.0141 0.4780 0.1092 [6 per cell]  2 O 1.26-1.28
C 0.0146 0.8727 0.6649 [6 per cell]  1 N 1.33, 1 C 1.40
C 0.0348 0.7412 0.6642 [6 per cell]  1 O 1.26, 1 N 1.33
C 0.0625 0.5454 0.9825 [6 per cell]  1 H 1.10
C 0.2048 0.5496 0.9472 [6 per cell]  3 H 1.09-1.10
N 0.0000 0.1416 0.3333 [3 per cell]  2 C 1.33
N 0.0817 0.6918 0.9779 [6 per cell]  1 H 1.04
O 0.0642 0.5605 0.2016 [6 per cell]  1 C 1.26
O 0.0663 0.4045 0.5500 [6 per cell]  1 C 1.28
O 0.1589 0.7553 0.6421 [6 per cell]  1 C 1.26



3.
# TmTlCdS3

An optimized crystal structure of TmTlCdS3 (GGA-PBE, OQMD via LeMat-Bulk).

## Properties
Calculated total energy: -106.6 eV per cell
Offset from the most stable computed form: 0.172 eV per formula unit
Calculated volume: 25.018 Å³ per atom

Cell: 12.0987 4.0397 12.2851 Å, 90.00 90.00 90.00°
With the nearest neighbours (Å) after each atom.
Space group Pnma (No. 62)
Symmetry-distinct sites (fractional):
Tm 0.0348 0.2500 0.1565 [4 per cell]  6 S 2.69-2.80
Tl 0.1418 0.2500 0.5196 [4 per cell]  3 S 3.02-3.03
Cd 0.2491 0.7500 0.3046 [4 per cell]  4 S 2.52-2.59
S 0.0372 0.7500 0.3094 [4 per cell]  1 Cd 2.56, 2 Tm 2.76
S 0.0906 0.2500 0.9352 [4 per cell]  1 Cd 2.52, 3 Tm 2.77-2.80
S 0.2433 0.7500 0.6733 [4 per cell]  2 Cd 2.59, 1 Tm 2.69



4.
# PmNdU

An optimized crystal structure of PmNdU (GGA-PBE, OQMD via LeMat-Bulk).

## Properties
Calculated total energy: -68.3 eV per cell
Offset from the most stable computed form: 0.000 eV per formula unit
Energy of formation from the pure elements: 1244 meV/atom
Calculated volume: 35.053 Å³ per atom

Cell: 7.4927 7.4927 7.4927 Å, 90.00 90.00 90.00°
With the nearest neighbours (Å) after each atom.
Space group F-43m (No. 216)
Symmetry-distinct sites (fractional):
Pm 0.0000 0.0000 0.0000 [4 per cell]  4 U 3.24
Nd 0.0000 0.0000 0.5000 [4 per cell]  4 U 3.24
U 0.2500 0.2500 0.7500 [4 per cell]  4 Nd 3.24, 4 Pm 3.24



5.
# TbGdIn2

An optimized crystal structure of TbGdIn2 (GGA-PBE, OQMD via LeMat-Bulk).

## Properties
Calculated total energy: -16.7 eV per cell
Calculated volume: 26.789 Å³ per atom

Cell: 3.5505 3.5505 8.5003 Å, 90.00 90.00 90.00°
With the nearest neighbours (Å) after each atom.
Space group P4/mmm (No. 123)
Symmetry-distinct sites (fractional):
Tb 0.0000 0.0000 0.0000 [1 per cell]  8 In 3.28, 4 Tb 3.55
Gd 0.0000 0.0000 0.5000 [1 per cell]  8 In 3.30, 4 Gd 3.55
In 0.5000 0.5000 0.2482 [2 per cell]  4 Tb 3.28, 4 Gd 3.30, 4 In 3.55



6.
# La3NiBr3

An optimized crystal structure of La3NiBr3 (GGA-PBE, OQMD via LeMat-Bulk).

## Properties
Calculated total energy: -275.9 eV per cell
Calculated volume: 31.699 Å³ per atom

Cell: 12.3284 12.3284 11.6793 Å, 90.00 90.00 90.00°
With the nearest neighbours (Å) after each atom.
Space group I4_122 (No. 98)
Symmetry-distinct sites (fractional):
La 0.1128 0.6128 0.2500 [8 per cell]  2 Ni 2.96, 4 Br 3.08-3.22
La 0.1285 0.1339 0.2260 [16 per cell]  1 Ni 2.64
Ni 0.1269 0.1269 0.0000 [8 per cell]  2 La 2.64
Br 0.1170 0.1170 0.5000 [8 per cell]  4 La 3.16-3.21
Br 0.1270 0.6279 0.5128 [16 per cell]  4 La 3.08-3.24



calculated total energy of number 5 (TbGdIn2)?
-16.7 eV per cell